Record 1
This record from the Alexandria database describes crystalline NaCePr2S4 at its relaxed geometry. The functional is PBE-GGA.

The structure in POSCAR format:
```
NaCePr2S4
1.0
4.079 0.000 0.000
0.000 7.056 0.132
0.000 -2.473 6.646
Na Ce Pr S
1 1 2 4
Cartesian
0.000 0.000 0.000 Na
2.040 3.528 0.066 Ce
2.040 -1.237 3.323 Pr
0.000 2.291 3.389 Pr
2.040 1.167 1.684 S
2.040 3.415 5.094 S
0.000 -0.091 5.055 S
0.000 4.674 1.723 S
```

Output
Spin magnetization (Bohr magnetons per cell): 1.09
Formation energy without anion corrections (eV/atom): -1.90
Mass density (Mg/m³): 4.94
Space-group type: No. 10

=====

Record 2
This record from the Alexandria database describes crystalline HfCo4Tc at its relaxed geometry. The functional is PBE-GGA.

The structure in POSCAR format:
```
HfCo4Tc
1.0
4.797 0.000 0.000
2.399 4.155 0.000
2.399 1.385 3.917
Co Hf Tc
4 1 1
Cartesian
4.797 2.770 0.488 Co
4.797 1.383 2.449 Co
5.998 3.463 2.449 Co
3.596 3.463 2.449 Co
0.000 0.000 0.000 Hf
2.399 1.385 0.979 Tc
```

Output
Spin magnetization (Bohr magnetons per cell): 6.97
Mass density (Mg/m³): 10.89
Space-group type: No. 216
Energy of formation from the pure elements (meV per atom): -158

=====

Record 3
This record from the Alexandria database describes crystalline Cs4DyTh3S8 at its relaxed geometry. The functional is PBE-GGA.

The structure in POSCAR format:
```
Cs4DyTh3S8
1.0
8.295 0.000 0.000
0.000 9.426 0.788
-4.148 -4.145 5.870
Cs Dy Th S
4 1 3 8
Cartesian
4.148 0.000 0.000 Cs
2.074 -2.072 2.935 Cs
0.000 0.000 0.000 Cs
-2.074 -2.072 2.935 Cs
0.000 4.713 0.394 Dy
4.148 4.713 0.394 Th
2.074 2.640 3.329 Th
-2.074 2.640 3.329 Th
-2.101 2.495 6.176 S
0.000 4.595 3.203 S
0.000 0.669 3.404 S
2.101 2.495 6.176 S
2.047 2.786 0.481 S
4.148 4.612 3.253 S
4.148 0.686 3.454 S
6.249 2.786 0.481 S
```

Output
Spin magnetization (Bohr magnetons per cell): 0.01
Formation energy without anion corrections (eV/atom): -1.69
Mass density (Mg/m³): 5.63
Space-group type: No. 166

=====

Record 4
This record from the Alexandria database describes crystalline LiPuCdGa at its relaxed geometry. The functional is PBE-GGA.

The structure in POSCAR format:
```
LiPuCdGa
1.0
4.883 0.000 0.000
2.442 4.229 0.000
2.442 1.410 3.987
Cd Li Ga Pu
1 1 1 1
Cartesian
7.325 4.229 2.990 Cd
0.000 0.000 0.000 Li
4.883 2.819 1.994 Ga
2.442 1.410 0.997 Pu
```

Output
Spin magnetization (Bohr magnetons per cell): 5.93
Mass density (Mg/m³): 8.73
Space-group type: No. 216
Energy of formation from the pure elements (meV per atom): -135

=====

Sequential calculated total energy output: -6.0634 -8.2817 -5.6433 -5.1824 eV/atom